#A
Na2Cu2F5 PBE-GGA relaxed; total moment = 0.1127 μB/atom
1.0
-2.913 4.706 1.080
-4.493 -2.194 -2.559
1.381 -4.211 7.349
Na Cu F
4 4 10
direct
0.881 0.407 0.768
0.119 0.640 0.232
0.613 0.140 0.232
0.387 0.907 0.768
0.238 0.302 0.500
0.762 0.802 0.500
0.500 0.489 0.000
0.000 0.989 0.000
0.875 0.144 0.500
0.125 0.644 0.500
0.755 0.796 0.726
0.529 0.570 0.274
0.471 0.296 0.726
0.790 0.274 0.061
0.245 0.070 0.274
0.771 0.774 0.061
0.210 0.214 0.939
0.229 0.714 0.939

=====

#B
Na2Cu2F5 PBE-GGA relaxed; total moment = 0.0000 μB/atom
1.0
3.811 0.000 1.159
1.015 5.291 3.508
0.103 0.788 6.506
Cu F Na
2 5 2
direct
0.094 0.207 0.604
0.906 0.793 0.396
0.176 0.432 0.216
0.000 0.000 0.000
0.824 0.568 0.784
0.591 0.182 0.637
0.409 0.818 0.363
0.625 0.684 0.066
0.375 0.316 0.934

=====

Which one is most stable, and which one is least stable? #B is the most stable of them, while #A is the least stable.

=====

#A
NaCu2F PBE-GGA relaxed; total moment = 0.0000 μB/atom
1.0
3.292 0.000 0.000
0.000 3.292 0.000
1.646 1.646 11.268
F Na Cu
2 2 4
direct
0.500 0.500 0.000
0.250 0.750 0.500
0.000 0.000 0.000
0.750 0.250 0.500
0.375 0.874 0.750
0.126 0.125 0.250
0.875 0.376 0.750
0.624 0.625 0.250

=====

#B
NaCu2F PBE-GGA relaxed; total moment = 0.0000 μB/atom
1.0
0.000 3.100 3.100
3.100 0.000 3.100
3.100 3.100 0.000
Cu Na F
2 1 1
direct
0.250 0.250 0.250
0.750 0.750 0.750
0.500 0.500 0.500
0.000 0.000 0.000

=====

Which one is most stable, and which one is least stable? #A is the most stable of them, while #B is the least stable.

=====

#A
NaCu3F8 PBE-GGA relaxed; total moment = 0.0043 μB/atom
1.0
5.811 0.000 0.000
-2.905 5.032 0.000
0.000 0.000 6.202
Cu F Na
3 8 1
direct
0.333 0.667 0.281
0.667 0.333 0.719
0.000 0.000 0.000
0.150 0.846 0.191
0.304 0.150 0.809
0.696 0.850 0.191
0.333 0.667 0.574
0.667 0.333 0.426
0.846 0.696 0.809
0.850 0.154 0.809
0.154 0.304 0.191
0.000 0.000 0.500

=====

#B
NaCu3F8 PBE-GGA relaxed; total moment = 0.2782 μB/atom
1.0
7.026 0.000 0.000
-3.513 4.558 -3.459
0.000 -1.197 5.592
F Cu Na
8 3 1
direct
0.312 0.044 0.791
0.241 0.482 0.111
0.752 0.503 0.374
0.688 0.956 0.209
0.248 0.497 0.626
0.759 0.518 0.889
0.268 0.956 0.209
0.732 0.044 0.791
0.500 0.500 0.000
0.000 0.500 0.000
0.500 0.000 0.000
0.000 0.000 0.000

=====

Which one is most stable, and which one is least stable? #B is the most stable of them, while #A is the least stable.

=====

#A
NaCu2F6 PBE-GGA relaxed; total moment = 0.0647 μB/atom
1.0
-0.053 3.761 -0.216
-5.204 1.901 1.518
0.447 2.240 6.048
F Na Cu
6 1 2
direct
0.996 0.184 0.824
0.660 0.297 0.383
0.340 0.703 0.617
0.307 0.294 0.091
0.004 0.816 0.176
0.693 0.706 0.909
0.000 0.500 0.500
0.173 0.763 0.892
0.827 0.237 0.108

=====

#B
NaCu2F6 PBE-GGA relaxed; total moment = 0.3333 μB/atom
1.0
0.768 4.257 -3.051
-2.866 0.137 4.448
2.118 5.111 3.834
F Cu Na
6 2 1
direct
0.796 0.932 0.719
0.162 0.662 0.712
0.838 0.338 0.288
0.568 0.704 0.281
0.204 0.068 0.281
0.432 0.296 0.719
0.335 0.165 0.500
0.665 0.835 0.500
0.500 0.000 0.000

=====

Which one is most stable, and which one is least stable? #B is the most stable of them, while #A is the least stable.